1.
First-principles (PBE) data for a relaxed structure of AlCo2Ru, as listed in Alexandria via LeMat-Bulk.

Properties
crystal system: orthorhombic
magnetic moment: 3.703 μB per cell
calculated formation energy: 0.067 eV/atom
space-group type: No. 35

a b c (Å): 2.6241 2.6241 8.0661
angles (deg): 90.00 90.00 113.08
Closest atoms and distances in Å follow each position.
Sites, in units of the cell vectors:
Co (0.5000, 0.5000, 0.2387)  6 Co 2.40-2.62, 2 Ru 2.56
Co (0.0000, 0.0000, 0.0014)  6 Co 2.40-2.62, 2 Al 2.43
Al (0.5000, 0.5000, 0.7591)  2 Co 2.43, 2 Ru 2.54, 4 Al 2.62
Ru (0.0000, 0.0000, 0.5009)  2 Al 2.54, 2 Co 2.56, 4 Ru 2.62

***

2.
First-principles (PBE) data for a relaxed structure of AlCoRu4, as listed in Alexandria via LeMat-Bulk.

Properties
crystal system: cubic
magnetic moment: 4.198 μB per cell
calculated formation energy: 0.477 eV/atom
space-group type: No. 216

a b c (Å): 5.0424 5.0424 5.0424
angles (deg): 60.00 60.00 60.00
Closest atoms and distances in Å follow each position.
Sites, in units of the cell vectors:
Ru (0.1250, 0.6250, 0.6250)  6 Ru 2.52
Ru (0.6250, 0.6250, 0.6250)  6 Ru 2.52
Ru (0.6250, 0.6250, 0.1250)  6 Ru 2.52
Ru (0.6250, 0.1250, 0.6250)  6 Ru 2.52
Co (0.0000, 0.0000, 0.0000)  12 Ru 2.96, 4 Al 3.09
Al (0.2500, 0.2500, 0.2500)  12 Ru 2.96, 4 Co 3.09

***

3.
First-principles (PBE) data for a relaxed structure of AlCo2Ru, as listed in Alexandria via LeMat-Bulk.

Properties
crystal system: monoclinic
magnetic moment: 0.702 μB per cell
calculated formation energy: -0.144 eV/atom
space-group type: No. 8

a b c (Å): 4.4381 4.4381 4.4103
angles (deg): 78.99 78.99 34.76
Closest atoms and distances in Å follow each position.
Sites, in units of the cell vectors:
Co (0.0026, 0.0026, 0.0070)  3 Al 2.51, 4 Ru 2.51-2.64, 5 Co 2.55-2.65
Co (0.7484, 0.7484, 0.7400)  3 Ru 2.49-2.51, 4 Al 2.53-2.62, 5 Co 2.55-2.65
Ru (0.4951, 0.4951, 0.5269)  7 Co 2.49-2.64, 3 Al 2.65-2.68, 2 Ru 2.65
Al (0.2539, 0.2539, 0.2260)  7 Co 2.51-2.62, 3 Ru 2.65-2.68, 2 Al 2.65

***

4.
First-principles (PBE) data for a relaxed structure of AlCoRu2, as listed in Alexandria via LeMat-Bulk.

Properties
crystal system: orthorhombic
magnetic moment: 2.607 μB per cell
calculated formation energy: -0.077 eV/atom
space-group type: No. 47

a b c (Å): 2.9142 4.4217 4.1565
angles (deg): 90.00 90.00 90.00
Closest atoms and distances in Å follow each position.
Sites, in units of the cell vectors:
Ru (0.0000, 0.0000, 0.0000)  4 Al 2.54, 4 Ru 2.65
Ru (0.5000, 0.5000, 0.0000)  4 Co 2.54, 4 Ru 2.65
Co (0.0000, 0.5000, 0.5000)  4 Ru 2.54, 4 Al 2.65
Al (0.5000, 0.0000, 0.5000)  4 Ru 2.54, 4 Co 2.65

***

Question: Among the records above, which one has the highest calculated formation energy?
Answer: AlCoRu4

***

Question: Which of these has the lowest calculated formation energy?
Answer: number 3